1.
VASP calculation (PBE-GGA) on a relaxed SbPd2Pb crystal.

The space group is Fm-3m. The magnetization is 0.0 μB/f.u. Its raw formation energy is -0.21 eV/atom. As for the uncorrected energy: -4.767 eV per atom.

Cell lengths 4.8751, 4.8751, 4.8751 Å; angles 60.00, 60.00, 60.00 degrees
Atoms (fractional coordinates):
Sb: 0.0000 0.0000 0.0000
Pd: 0.2500 0.2500 0.2500
Pd: 0.7500 0.7500 0.7500
Pb: 0.5000 0.5000 0.5000

=====

2.
VASP calculation (PBE-GGA) on a relaxed SbPdPb2Se crystal.

The space group is P4/mmm. The magnetization is 0.0 μB/f.u. Its raw formation energy is 0.74 eV/atom. As for the uncorrected energy: -3.307 eV per atom.

Cell lengths 5.8709, 5.8709, 5.2070 Å; angles 90.00, 90.00, 90.00 degrees
Atoms (fractional coordinates):
Sb: 0.0000 0.0000 0.0000
Pd: 0.5000 0.5000 0.5000
Pb: 0.0000 0.5000 0.0000
Pb: 0.5000 0.0000 0.0000
Se: 0.0000 0.0000 0.5000

=====

3.
VASP calculation (PBE-GGA) on a relaxed SmSb2Pd7Pb2 crystal.

The space group is C2/m. The magnetization is 0.0 μB/f.u. Its raw formation energy is -0.44 eV/atom. As for the uncorrected energy: -5.170 eV per atom.

Cell lengths 4.1154, 4.1154, 15.3299 Å; angles 93.86, 93.86, 89.95 degrees
Atoms (fractional coordinates):
Sm: 0.0000 0.0000 0.0000
Sb: 0.4350 0.4350 0.7500
Sb: 0.5650 0.5650 0.2500
Pd: 0.0373 0.5366 0.1408
Pd: 0.3855 0.3855 0.5764
Pd: 0.4634 0.9627 0.8592
Pd: 0.5000 0.5000 0.0000
Pd: 0.5366 0.0373 0.1408
Pd: 0.6145 0.6145 0.4236
Pd: 0.9627 0.4634 0.8592
Pb: 0.1208 0.1208 0.4024
Pb: 0.8792 0.8792 0.5976

=====

4.
VASP calculation (PBE-GGA) on a relaxed Sn2SbPd7Pb2 crystal.

The space group is C2/m. The magnetization is 0.0 μB/f.u. Its raw formation energy is -0.27 eV/atom. As for the uncorrected energy: -4.926 eV per atom.

Cell lengths 3.9749, 3.9749, 16.1005 Å; angles 93.79, 93.79, 90.36 degrees
Atoms (fractional coordinates):
Sn: 0.1316 0.1316 0.4157
Sn: 0.8684 0.8684 0.5843
Sb: 0.0000 0.0000 0.0000
Pd: 0.0350 0.5352 0.1288
Pd: 0.3734 0.3734 0.5753
Pd: 0.4648 0.9650 0.8712
Pd: 0.5000 0.5000 0.0000
Pd: 0.5352 0.0350 0.1288
Pd: 0.6266 0.6266 0.4247
Pd: 0.9650 0.4648 0.8712
Pb: 0.4307 0.4307 0.7484
Pb: 0.5693 0.5693 0.2516

=====

5.
VASP calculation (PBE-GGA) on a relaxed Sr3Sb2Pd9Pb crystal.

The space group is P-3m1. The magnetization is 0.0 μB/f.u. Its raw formation energy is -0.44 eV/atom. As for the uncorrected energy: -4.690 eV per atom.

Cell lengths 6.7691, 6.7691, 9.8665 Å; angles 90.00, 90.00, 120.00 degrees
Atoms (fractional coordinates):
Sr: 0.0000 0.0000 0.0000
Sr: 0.3333 0.6667 0.7297
Sr: 0.6667 0.3333 0.2703
Sb: 0.3333 0.6667 0.1790
Sb: 0.6667 0.3333 0.8210
Pd: 0.0000 0.5000 0.0000
Pd: 0.1344 0.2689 0.2761
Pd: 0.1344 0.8656 0.2761
Pd: 0.2689 0.1344 0.7239
Pd: 0.5000 0.0000 0.0000
Pd: 0.5000 0.5000 0.0000
Pd: 0.7311 0.8656 0.2761
Pd: 0.8656 0.1344 0.7239
Pd: 0.8656 0.7311 0.7239
Pb: 0.0000 0.0000 0.5000

=====

6.
VASP calculation (PBE-GGA) on a relaxed SrSb2Pd5Pb crystal.

The space group is P4/mmm. The magnetization is 0.0 μB/f.u. Its raw formation energy is -0.38 eV/atom. As for the uncorrected energy: -4.779 eV per atom.

Cell lengths 4.8901, 4.8901, 8.3787 Å; angles 90.00, 90.00, 90.00 degrees
Atoms (fractional coordinates):
Sr: 0.0000 0.0000 0.0000
Sb: 0.5000 0.5000 0.3266
Sb: 0.5000 0.5000 0.6734
Pd: 0.0000 0.5000 0.2222
Pd: 0.0000 0.5000 0.7778
Pd: 0.5000 0.0000 0.2222
Pd: 0.5000 0.0000 0.7778
Pd: 0.5000 0.5000 0.0000
Pb: 0.0000 0.0000 0.5000

=====

7.
VASP calculation (PBE-GGA) on a relaxed Sr2SbPd6Pb crystal.

The space group is C2/m. The magnetization is 0.0 μB/f.u. Its raw formation energy is -0.52 eV/atom. As for the uncorrected energy: -4.754 eV per atom.

Cell lengths 6.9328, 6.9328, 9.0633 Å; angles 129.10, 129.10, 48.46 degrees
Atoms (fractional coordinates):
Sr: 0.2483 0.2483 0.2750
Sr: 0.7517 0.7517 0.7250
Sb: 0.5000 0.5000 0.0000
Pd: 0.2469 0.7477 0.2418
Pd: 0.2500 0.2500 0.9123
Pd: 0.2523 0.7531 0.7582
Pd: 0.7477 0.2469 0.2418
Pd: 0.7500 0.7500 0.0877
Pd: 0.7531 0.2523 0.7582
Pb: 0.0000 0.0000 0.5000

=====

8.
VASP calculation (PBE-GGA) on a relaxed Sr2Sb4Pd3Pb crystal.

The space group is P-4m2. The magnetization is 0.0 μB/f.u. Its raw formation energy is -0.59 eV/atom. As for the uncorrected energy: -4.504 eV per atom.

Cell lengths 4.6643, 4.6643, 12.1236 Å; angles 90.00, 90.00, 90.00 degrees
Atoms (fractional coordinates):
Sr: 0.0000 0.5000 0.2364
Sr: 0.5000 0.0000 0.7636
Sb: 0.0000 0.0000 0.0000
Sb: 0.0000 0.5000 0.6615
Sb: 0.5000 0.0000 0.3385
Sb: 0.5000 0.5000 0.0000
Pd: 0.0000 0.5000 0.8807
Pd: 0.5000 0.0000 0.1193
Pd: 0.5000 0.5000 0.5000
Pb: 0.0000 0.0000 0.5000

=====

9.
VASP calculation (PBE-GGA) on a relaxed Sr2Sb3Pd4Pb crystal.

The space group is P-4m2. The magnetization is 0.0 μB/f.u. Its raw formation energy is -0.72 eV/atom. As for the uncorrected energy: -4.744 eV per atom.

Cell lengths 4.7081, 4.7081, 10.9653 Å; angles 90.00, 90.00, 90.00 degrees
Atoms (fractional coordinates):
Sr: 0.0000 0.5000 0.2371
Sr: 0.5000 0.0000 0.7629
Sb: 0.0000 0.5000 0.8771
Sb: 0.5000 0.0000 0.1229
Sb: 0.5000 0.5000 0.5000
Pd: 0.0000 0.0000 0.0000
Pd: 0.0000 0.5000 0.6380
Pd: 0.5000 0.0000 0.3620
Pd: 0.5000 0.5000 0.0000
Pb: 0.0000 0.0000 0.5000

=====

10.
VASP calculation (PBE-GGA) on a relaxed SrSbPd3Pb crystal.

The space group is Cmcm. The magnetization is 0.0 μB/f.u. Its raw formation energy is -0.41 eV/atom. As for the uncorrected energy: -4.596 eV per atom.

Cell lengths 9.2925, 9.2925, 5.9734 Å; angles 90.00, 90.00, 143.03 degrees
Atoms (fractional coordinates):
Sr: 0.2065 0.7935 0.7500
Sr: 0.7935 0.2065 0.2500
Sb: 0.4057 0.5943 0.2500
Sb: 0.5943 0.4057 0.7500
Pd: 0.2498 0.2498 0.0000
Pd: 0.2498 0.2498 0.5000
Pd: 0.2575 0.7425 0.2500
Pd: 0.7425 0.2575 0.7500
Pd: 0.7502 0.7502 0.0000
Pd: 0.7502 0.7502 0.5000
Pb: 0.1039 0.8961 0.2500
Pb: 0.8961 0.1039 0.7500

=====

11.
VASP calculation (PBE-GGA) on a relaxed TaSb2PdPb crystal.

The space group is P4/mmm. The magnetization is 0.0 μB/f.u. Its raw formation energy is 0.50 eV/atom. As for the uncorrected energy: -5.302 eV per atom.

Cell lengths 5.3890, 5.3890, 5.2765 Å; angles 90.00, 90.00, 90.00 degrees
Atoms (fractional coordinates):
Ta: 0.0000 0.0000 0.0000
Sb: 0.0000 0.5000 0.0000
Sb: 0.5000 0.0000 0.0000
Pd: 0.0000 0.0000 0.5000
Pb: 0.5000 0.5000 0.5000

=====

12.
VASP calculation (PBE-GGA) on a relaxed TbSb2Pd7Pb2 crystal.

The space group is C2/m. The magnetization is 0.0 μB/f.u. Its raw formation energy is -0.47 eV/atom. As for the uncorrected energy: -5.188 eV per atom.

Cell lengths 4.0974, 4.0974, 15.2962 Å; angles 93.82, 93.82, 90.01 degrees
Atoms (fractional coordinates):
Tb: 0.0000 0.0000 0.0000
Sb: 0.4359 0.4359 0.7511
Sb: 0.5641 0.5641 0.2489
Pd: 0.0363 0.5356 0.1386
Pd: 0.3858 0.3858 0.5768
Pd: 0.4644 0.9637 0.8614
Pd: 0.5000 0.5000 0.0000
Pd: 0.5356 0.0363 0.1386
Pd: 0.6142 0.6142 0.4232
Pd: 0.9637 0.4644 0.8614
Pb: 0.1197 0.1197 0.4020
Pb: 0.8803 0.8803 0.5980

=====

13.
VASP calculation (PBE-GGA) on a relaxed SbTe2PdPb crystal.

As for the energy above the most stable polymorph in this dataset: 0 kJ/mol of formula units. The space group is P4/mmm. The magnetization is 0.0 μB/f.u. Its raw formation energy is 0.12 eV/atom. As for the uncorrected energy: -3.746 eV per atom.

Cell lengths 5.5042, 5.5042, 5.0569 Å; angles 90.00, 90.00, 90.00 degrees
Atoms (fractional coordinates):
Sb: 0.0000 0.0000 0.0000
Te: 0.0000 0.5000 0.5000
Te: 0.5000 0.0000 0.5000
Pd: 0.0000 0.0000 0.5000
Pb: 0.5000 0.5000 0.0000

=====

14.
VASP calculation (PBE-GGA) on a relaxed SbTe2PdPb crystal.

As for the energy above the most stable polymorph in this dataset: 455 kJ/mol of formula units. The space group is P4/mmm. The magnetization is 0.0 μB/f.u. Its raw formation energy is 1.06 eV/atom. As for the uncorrected energy: -2.802 eV per atom.

Cell lengths 5.8026, 5.8026, 5.7900 Å; angles 90.00, 90.00, 90.00 degrees
Atoms (fractional coordinates):
Sb: 0.0000 0.0000 0.0000
Te: 0.0000 0.5000 0.5000
Te: 0.5000 0.0000 0.5000
Pd: 0.5000 0.5000 0.0000
Pb: 0.0000 0.0000 0.5000

=====

15.
VASP calculation (PBE-GGA) on a relaxed SbTe2Pd7Pb2 crystal.

The space group is C2/m. The magnetization is 0.0 μB/f.u. Its raw formation energy is -0.28 eV/atom. As for the uncorrected energy: -4.792 eV per atom.

Cell lengths 3.9919, 3.9919, 16.4935 Å; angles 96.77, 96.77, 90.00 degrees
Atoms (fractional coordinates):
Sb: 0.0000 0.0000 0.0000
Te: 0.2076 0.2076 0.4182
Te: 0.7924 0.7924 0.5818
Pd: 0.0614 0.5612 0.1263
Pd: 0.2939 0.2939 0.5856
Pd: 0.4388 0.9386 0.8737
Pd: 0.5000 0.5000 0.0000
Pd: 0.5612 0.0614 0.1263
Pd: 0.7061 0.7061 0.4144
Pd: 0.9386 0.4388 0.8737
Pb: 0.3804 0.3804 0.7538
Pb: 0.6196 0.6196 0.2462

=====

16.
VASP calculation (PBE-GGA) on a relaxed USb3Pd4Pb2 crystal.

The space group is P-4m2. The magnetization is 2.8 μB/f.u. Its raw formation energy is -0.26 eV/atom. As for the uncorrected energy: -5.441 eV per atom.

Cell lengths 4.5623, 4.5623, 11.5165 Å; angles 90.00, 90.00, 90.00 degrees
Atoms (fractional coordinates):
U: 0.0000 0.0000 0.0000
Sb: 0.0000 0.5000 0.3709
Sb: 0.5000 0.0000 0.6291
Sb: 0.5000 0.5000 0.0000
Pd: 0.0000 0.0000 0.5000
Pd: 0.0000 0.5000 0.1424
Pd: 0.5000 0.0000 0.8576
Pd: 0.5000 0.5000 0.5000
Pb: 0.0000 0.5000 0.7165
Pb: 0.5000 0.0000 0.2835

=====

17.
VASP calculation (PBE-GGA) on a relaxed SbPdPbW2 crystal.

The space group is P4/mmm. The magnetization is 4.7 μB/f.u. Its raw formation energy is 2.81 eV/atom. As for the uncorrected energy: -4.977 eV per atom.

Cell lengths 5.1458, 5.1458, 5.5685 Å; angles 90.00, 90.00, 90.00 degrees
Atoms (fractional coordinates):
Sb: 0.0000 0.0000 0.0000
Pd: 0.5000 0.5000 0.0000
Pb: 0.0000 0.0000 0.5000
W: 0.0000 0.5000 0.5000
W: 0.5000 0.0000 0.5000

=====

18.
VASP calculation (PBE-GGA) on a relaxed Sc4Pd3Pb crystal.

The space group is R-3m. The magnetization is 0.0 μB/f.u. As for the uncorrected energy: -6.318 eV per atom. The calculation puts the energy of formation at -740.9 meV per atom.

Cell lengths 8.3444, 8.3444, 8.3444 Å; angles 33.40, 33.40, 33.40 degrees
Atoms (fractional coordinates):
Sc: 0.1167 0.1167 0.1167
Sc: 0.3688 0.3688 0.3688
Sc: 0.6312 0.6312 0.6312
Sc: 0.8833 0.8833 0.8833
Pd: 0.0000 0.0000 0.0000
Pd: 0.2472 0.2472 0.2472
Pd: 0.7528 0.7528 0.7528
Pb: 0.5000 0.5000 0.5000

=====

19.
VASP calculation (PBE-GGA) on a relaxed ScPd3Pb crystal.

As for the energy above the most stable polymorph in this dataset: 0 kJ/mol of formula units. The space group is P2_1/m. The magnetization is 0.0 μB/f.u. As for the uncorrected energy: -5.729 eV per atom. The calculation puts the energy of formation at -605.3 meV per atom.

Cell lengths 4.4834, 5.6076, 7.6825 Å; angles 90.00, 90.05, 90.00 degrees
Atoms (fractional coordinates):
Sc: 0.2502 0.2500 0.1129
Sc: 0.7498 0.7500 0.8871
Pd: 0.2495 0.0038 0.7638
Pd: 0.2495 0.4962 0.7638
Pd: 0.2502 0.7500 0.0883
Pd: 0.7498 0.2500 0.9117
Pd: 0.7505 0.5038 0.2362
Pd: 0.7505 0.9962 0.2362
Pb: 0.2502 0.7500 0.4482
Pb: 0.7498 0.2500 0.5518

=====

20.
VASP calculation (PBE-GGA) on a relaxed Sc11Pd4Pb9 crystal.

The space group is Cmmm. The magnetization is 0.7 μB/f.u. As for the uncorrected energy: -5.668 eV per atom. The calculation puts the energy of formation at -509.9 meV per atom.

Cell lengths 12.7251, 12.7251, 3.6425 Å; angles 90.00, 90.00, 112.47 degrees
Atoms (fractional coordinates):
Sc: 0.0000 0.0000 0.0000
Sc: 0.0781 0.4157 0.0000
Sc: 0.1597 0.8403 0.0000
Sc: 0.3111 0.3111 0.0000
Sc: 0.3728 0.6272 0.0000
Sc: 0.4157 0.0781 0.0000
Sc: 0.5843 0.9219 0.0000
Sc: 0.6272 0.3728 0.0000
Sc: 0.6889 0.6889 0.0000
Sc: 0.8403 0.1597 0.0000
Sc: 0.9219 0.5843 0.0000
Pd: 0.2483 0.4504 0.5000
Pd: 0.4504 0.2483 0.5000
Pd: 0.5496 0.7517 0.5000
Pd: 0.7517 0.5496 0.5000
Pb: 0.0632 0.2161 0.5000
Pb: 0.1435 0.6279 0.5000
Pb: 0.2161 0.0632 0.5000
Pb: 0.3721 0.8565 0.5000
Pb: 0.5000 0.5000 0.5000
Pb: 0.6279 0.1435 0.5000
Pb: 0.7839 0.9368 0.5000
Pb: 0.8565 0.3721 0.5000
Pb: 0.9368 0.7839 0.5000